Record 1
# SbPt PBE optimized geometry
# Formation energy (no corrections)   0.21 eV per atom
data_SbPt
_chemical_formula_sum 'Sb2 Pt2'
_cell_length_a 4.8526
_cell_length_b 4.8526
_cell_length_c 4.8526
_cell_angle_alpha 60.00
_cell_angle_beta 60.00
_cell_angle_gamma 60.00
_symmetry_space_group_name_H-M 'P 1'
_symmetry_Int_Tables_number 1
loop_
_symmetry_equiv_pos_as_xyz
'x,y,z'
loop_
_atom_site_label
_atom_site_fract_x
_atom_site_fract_y
_atom_site_fract_z
Sb1 0.1250 0.1250 0.1250
Sb2 0.8750 0.8750 0.8750
Pt1 0.3750 0.3750 0.3750
Pt2 0.6250 0.6250 0.6250


Record 2
# SbPt PBE optimized geometry
# Formation energy (no corrections)   -0.25 eV per atom
data_SbPt
_chemical_formula_sum 'Sb8 Pt8'
_cell_length_a 6.3979
_cell_length_b 6.7524
_cell_length_c 7.9454
_cell_angle_alpha 90.00
_cell_angle_beta 90.00
_cell_angle_gamma 90.00
_symmetry_space_group_name_H-M 'P 1'
_symmetry_Int_Tables_number 1
loop_
_symmetry_equiv_pos_as_xyz
'x,y,z'
loop_
_atom_site_label
_atom_site_fract_x
_atom_site_fract_y
_atom_site_fract_z
Sb1 0.1835 0.2385 0.1611
Sb2 0.2150 0.2428 0.5742
Sb3 0.2850 0.7572 0.0742
Sb4 0.3165 0.7615 0.6611
Sb5 0.6835 0.2615 0.8389
Sb6 0.7150 0.2572 0.4258
Sb7 0.7850 0.7428 0.9258
Sb8 0.8165 0.7385 0.3389
Pt1 0.0754 0.0265 0.8433
Pt2 0.2062 0.5809 0.3678
Pt3 0.2938 0.4191 0.8678
Pt4 0.4246 0.9735 0.3433
Pt5 0.5754 0.4735 0.1567
Pt6 0.7062 0.9191 0.6322
Pt7 0.7938 0.0809 0.1322
Pt8 0.9246 0.5265 0.6567


Record 3
# SbPt2 PBE optimized geometry
# Formation energy (no corrections)   0.09 eV per atom
data_SbPt2
_chemical_formula_sum 'Sb4 Pt8'
_cell_length_a 6.3466
_cell_length_b 6.3466
_cell_length_c 6.3466
_cell_angle_alpha 90.00
_cell_angle_beta 90.00
_cell_angle_gamma 90.00
_symmetry_space_group_name_H-M 'P 1'
_symmetry_Int_Tables_number 1
loop_
_symmetry_equiv_pos_as_xyz
'x,y,z'
loop_
_atom_site_label
_atom_site_fract_x
_atom_site_fract_y
_atom_site_fract_z
Sb1 0.0000 0.0000 0.0000
Sb2 0.0000 0.5000 0.5000
Sb3 0.5000 0.0000 0.5000
Sb4 0.5000 0.5000 0.0000
Pt1 0.1212 0.6212 0.8788
Pt2 0.1212 0.8788 0.3788
Pt3 0.3788 0.1212 0.8788
Pt4 0.3788 0.3788 0.3788
Pt5 0.6212 0.6212 0.6212
Pt6 0.6212 0.8788 0.1212
Pt7 0.8788 0.1212 0.6212
Pt8 0.8788 0.3788 0.1212


Record 4
# SbPt3 PBE optimized geometry
# Formation energy (no corrections)   -0.13 eV per atom
data_SbPt3
_chemical_formula_sum 'Sb1 Pt3'
_cell_length_a 4.8427
_cell_length_b 4.8427
_cell_length_c 4.3804
_cell_angle_alpha 104.86
_cell_angle_beta 104.86
_cell_angle_gamma 45.05
_symmetry_space_group_name_H-M 'P 1'
_symmetry_Int_Tables_number 1
loop_
_symmetry_equiv_pos_as_xyz
'x,y,z'
loop_
_atom_site_label
_atom_site_fract_x
_atom_site_fract_y
_atom_site_fract_z
Sb1 0.0000 0.0000 0.0000
Pt1 0.2465 0.2465 0.7471
Pt2 0.5000 0.5000 0.5000
Pt3 0.7535 0.7535 0.2529


Record 5
# SbPt PBE optimized geometry
# Formation energy (no corrections)   -0.01 eV per atom
data_SbPt
_chemical_formula_sum 'Sb2 Pt2'
_cell_length_a 5.5312
_cell_length_b 5.5312
_cell_length_c 5.5312
_cell_angle_alpha 136.35
_cell_angle_beta 136.35
_cell_angle_gamma 63.44
_symmetry_space_group_name_H-M 'P 1'
_symmetry_Int_Tables_number 1
loop_
_symmetry_equiv_pos_as_xyz
'x,y,z'
loop_
_atom_site_label
_atom_site_fract_x
_atom_site_fract_y
_atom_site_fract_z
Sb1 0.3750 0.6250 0.7500
Sb2 0.6250 0.3750 0.2500
Pt1 0.1250 0.8750 0.2500
Pt2 0.8750 0.1250 0.7500


Record 6
# SbPt2 PBE optimized geometry
# Formation energy (no corrections)   -0.20 eV per atom
data_SbPt2
_chemical_formula_sum 'Sb2 Pt4'
_cell_length_a 7.0415
_cell_length_b 7.0415
_cell_length_c 3.9553
_cell_angle_alpha 90.00
_cell_angle_beta 90.00
_cell_angle_gamma 146.18
_symmetry_space_group_name_H-M 'P 1'
_symmetry_Int_Tables_number 1
loop_
_symmetry_equiv_pos_as_xyz
'x,y,z'
loop_
_atom_site_label
_atom_site_fract_x
_atom_site_fract_y
_atom_site_fract_z
Sb1 0.1071 0.8929 0.7500
Sb2 0.8929 0.1071 0.2500
Pt1 0.2488 0.7512 0.2500
Pt2 0.4240 0.5760 0.7500
Pt3 0.5760 0.4240 0.2500
Pt4 0.7512 0.2488 0.7500


Record 7
# SbPt8 PBE optimized geometry
# Formation energy (no corrections)   -0.10 eV per atom
data_SbPt8
_chemical_formula_sum 'Sb1 Pt8'
_cell_length_a 6.3327
_cell_length_b 6.3327
_cell_length_c 6.3327
_cell_angle_alpha 95.89
_cell_angle_beta 95.89
_cell_angle_gamma 142.64
_symmetry_space_group_name_H-M 'P 1'
_symmetry_Int_Tables_number 1
loop_
_symmetry_equiv_pos_as_xyz
'x,y,z'
loop_
_atom_site_label
_atom_site_fract_x
_atom_site_fract_y
_atom_site_fract_z
Sb1 0.0000 0.0000 0.0000
Pt1 0.0000 0.3339 0.3339
Pt2 0.0000 0.6661 0.6661
Pt3 0.3329 0.3329 0.6659
Pt4 0.3329 0.6671 0.0000
Pt5 0.3339 0.0000 0.3339
Pt6 0.6661 0.0000 0.6661
Pt7 0.6671 0.3329 0.0000
Pt8 0.6671 0.6671 0.3341


Record 8
# Sb2Pt PBE optimized geometry
# Formation energy (no corrections)   0.83 eV per atom
data_Sb2Pt
_chemical_formula_sum 'Sb4 Pt2'
_cell_length_a 5.9601
_cell_length_b 5.9601
_cell_length_c 5.9601
_cell_angle_alpha 60.00
_cell_angle_beta 60.00
_cell_angle_gamma 60.00
_symmetry_space_group_name_H-M 'P 1'
_symmetry_Int_Tables_number 1
loop_
_symmetry_equiv_pos_as_xyz
'x,y,z'
loop_
_atom_site_label
_atom_site_fract_x
_atom_site_fract_y
_atom_site_fract_z
Sb1 0.0000 0.0000 0.0000
Sb2 0.0000 0.0000 0.5000
Sb3 0.0000 0.5000 0.0000
Sb4 0.5000 0.0000 0.0000
Pt1 0.3750 0.3750 0.3750
Pt2 0.6250 0.6250 0.6250


Record 9
# Sb7Pt PBE optimized geometry
# Formation energy (no corrections)   0.31 eV per atom
data_Sb7Pt
_chemical_formula_sum 'Sb7 Pt1'
_cell_length_a 6.6117
_cell_length_b 6.6117
_cell_length_c 6.6117
_cell_angle_alpha 60.00
_cell_angle_beta 60.00
_cell_angle_gamma 60.00
_symmetry_space_group_name_H-M 'P 1'
_symmetry_Int_Tables_number 1
loop_
_symmetry_equiv_pos_as_xyz
'x,y,z'
loop_
_atom_site_label
_atom_site_fract_x
_atom_site_fract_y
_atom_site_fract_z
Sb1 0.0000 0.0000 0.0000
Sb2 0.0000 0.0000 0.5000
Sb3 0.0000 0.5000 0.0000
Sb4 0.0000 0.5000 0.5000
Sb5 0.5000 0.0000 0.0000
Sb6 0.5000 0.0000 0.5000
Sb7 0.5000 0.5000 0.0000
Pt1 0.5000 0.5000 0.5000


Record 10
# SbPt3 PBE optimized geometry
# Formation energy (no corrections)   -0.07 eV per atom
data_SbPt3
_chemical_formula_sum 'Sb1 Pt3'
_cell_length_a 4.0678
_cell_length_b 4.0678
_cell_length_c 5.6193
_cell_angle_alpha 90.00
_cell_angle_beta 90.00
_cell_angle_gamma 120.00
_symmetry_space_group_name_H-M 'P 1'
_symmetry_Int_Tables_number 1
loop_
_symmetry_equiv_pos_as_xyz
'x,y,z'
loop_
_atom_site_label
_atom_site_fract_x
_atom_site_fract_y
_atom_site_fract_z
Sb1 0.0000 0.0000 0.0000
Pt1 0.0000 0.0000 0.5000
Pt2 0.3333 0.6667 0.2501
Pt3 0.3333 0.6667 0.7499


Record 11
# Sb2Pt PBE optimized geometry
# Formation energy (no corrections)   -0.22 eV per atom
data_Sb2Pt
_chemical_formula_sum 'Sb4 Pt2'
_cell_length_a 6.6745
_cell_length_b 6.6745
_cell_length_c 8.1383
_cell_angle_alpha 125.13
_cell_angle_beta 125.13
_cell_angle_gamma 30.38
_symmetry_space_group_name_H-M 'P 1'
_symmetry_Int_Tables_number 1
loop_
_symmetry_equiv_pos_as_xyz
'x,y,z'
loop_
_atom_site_label
_atom_site_fract_x
_atom_site_fract_y
_atom_site_fract_z
Sb1 0.0000 0.0000 0.0000
Sb2 0.0433 0.0433 0.6091
Sb3 0.2343 0.2343 0.4948
Sb4 0.7857 0.7857 0.1221
Pt1 0.3060 0.3060 0.8872
Pt2 0.5211 0.5211 0.3155


Record 12
# SbPt3 PBE optimized geometry
# Formation energy (no corrections)   -0.21 eV per atom
data_SbPt3
_chemical_formula_sum 'Sb2 Pt6'
_cell_length_a 9.1046
_cell_length_b 9.1046
_cell_length_c 9.1046
_cell_angle_alpha 154.70
_cell_angle_beta 154.70
_cell_angle_gamma 36.09
_symmetry_space_group_name_H-M 'P 1'
_symmetry_Int_Tables_number 1
loop_
_symmetry_equiv_pos_as_xyz
'x,y,z'
loop_
_atom_site_label
_atom_site_fract_x
_atom_site_fract_y
_atom_site_fract_z
Sb1 0.1353 0.1353 0.0000
Sb2 0.8647 0.8647 0.0000
Pt1 0.0000 0.5000 0.5000
Pt2 0.2500 0.7500 0.5000
Pt3 0.3861 0.3861 0.0000
Pt4 0.5000 0.0000 0.5000
Pt5 0.6139 0.6139 0.0000
Pt6 0.7500 0.2500 0.5000


no.,total moment (μB per formula unit)
1,0.00
2,0.00
3,0.00
4,0.00
5,0.00
6,0.00
7,0.00
8,0.00
9,0.00
10,0.00
11,0.00
12,0.00